# AcPm6YEr2, optimized geometry, DFT PBE-GGA
data_AcPm6YEr2
_chemical_formula_sum 'Ac4 Pm24 Y4 Er8'
_cell_length_a 9.354
_cell_length_b 15.441
_cell_length_c 9.728
_cell_angle_alpha 90.00
_cell_angle_beta 95.81
_cell_angle_gamma 90.00
_space_group_name_H-M_alt 'C 1 2/c 1'
_space_group_IT_number 15
loop_
_space_group_symop_operation_xyz
'x,y,z'
'-x,-y,-z'
'-x,y,-z+1/2'
'x,-y,z+1/2'
'x+1/2,y+1/2,z'
'-x+1/2,-y+1/2,-z'
'-x+1/2,y+1/2,-z+1/2'
'x+1/2,-y+1/2,z+1/2'
loop_
_atom_site_label
_atom_site_fract_x
_atom_site_fract_y
_atom_site_fract_z
_atom_site_occupancy
Ac1 0.000 0.029 0.250 1
Pm1 0.062 0.185 0.946 1
Pm2 0.100 0.390 0.119 1
Pm3 0.217 0.228 0.318 1
Y1 0.000 0.412 0.750 1
Er1 0.240 0.445 0.453 1
# Energy relative to the elements (eV per atom): 0.118

=====

# CoCSe2, optimized geometry, DFT PBE-GGA
data_CoCSe2
_chemical_formula_sum 'Co4 C4 Se8'
_cell_length_a 5.116
_cell_length_b 5.116
_cell_length_c 9.850
_cell_angle_alpha 90.00
_cell_angle_beta 90.00
_cell_angle_gamma 90.00
_space_group_name_H-M_alt 'I -4 2 d'
_space_group_IT_number 122
_space_group_name_Hall 'I -4 2bw'
loop_
_atom_site_label
_atom_site_fract_x
_atom_site_fract_y
_atom_site_fract_z
_atom_site_occupancy
Co1 0.000 0.000 0.000 1
C1 0.000 0.000 0.500 1
Se1 0.227 0.250 0.625 1
# Raw total energy (eV per cell): -80.5

=====

# K2SmZn2Te4, optimized geometry, DFT PBE-GGA
data_K2SmZn2Te4
_chemical_formula_sum 'K4 Sm2 Zn4 Te8'
_cell_length_a 16.498
_cell_length_b 4.642
_cell_length_c 8.406
_cell_angle_alpha 90.00
_cell_angle_beta 109.48
_cell_angle_gamma 90.00
_space_group_name_H-M_alt 'C 1 2/m 1'
_space_group_IT_number 12
loop_
_space_group_symop_operation_xyz
'x,y,z'
'-x,-y,-z'
'-x,y,-z'
'x,-y,z'
'x+1/2,y+1/2,z'
'-x+1/2,-y+1/2,-z'
'-x+1/2,y+1/2,-z'
'x+1/2,-y+1/2,z'
loop_
_atom_site_label
_atom_site_fract_x
_atom_site_fract_y
_atom_site_fract_z
_atom_site_occupancy
K1 0.130 0.000 0.062 1
Sm1 0.000 0.000 0.500 1
Zn1 0.174 0.500 0.492 1
Te1 0.016 0.500 0.254 1
Te2 0.205 0.000 0.679 1
# Raw total energy (eV per cell): -59.6

=====

# PaSe2, optimized geometry, DFT PBE-GGA
data_PaSe2
_chemical_formula_sum 'Pa2 Se4'
_cell_length_a 3.758
_cell_length_b 3.758
_cell_length_c 9.266
_cell_angle_alpha 90.00
_cell_angle_beta 90.00
_cell_angle_gamma 90.00
_space_group_name_H-M_alt 'I 4/m m m'
_space_group_IT_number 139
_space_group_name_Hall '-I 4 2'
loop_
_atom_site_label
_atom_site_fract_x
_atom_site_fract_y
_atom_site_fract_z
_atom_site_occupancy
Pa1 0.000 0.000 0.000 1
Se1 0.000 0.000 0.343 1
# Raw total energy (eV per cell): -40.9

=====

# VFeS3, optimized geometry, DFT PBE-GGA
data_VFeS3
_chemical_formula_sum 'V1 Fe1 S3'
_cell_length_a 4.553
_cell_length_b 4.553
_cell_length_c 4.553
_cell_angle_alpha 90.00
_cell_angle_beta 90.00
_cell_angle_gamma 90.00
_space_group_name_H-M_alt 'P m -3 m'
_space_group_IT_number 221
_space_group_name_Hall '-P 4 2 3'
loop_
_atom_site_label
_atom_site_fract_x
_atom_site_fract_y
_atom_site_fract_z
_atom_site_occupancy
V1 0.000 0.000 0.000 1
Fe1 0.500 0.500 0.500 1
S1 0.000 0.000 0.500 1
# Energy above the lowest structure with this stoichiometry (eV per atom): 0.000

=====

# TlCl3O, optimized geometry, DFT PBE-GGA
data_TlCl3O
_chemical_formula_sum 'Tl4 Cl12 O4'
_cell_length_a 17.589
_cell_length_b 11.097
_cell_length_c 3.715
_cell_angle_alpha 90.00
_cell_angle_beta 101.64
_cell_angle_gamma 90.00
_space_group_name_H-M_alt 'C 1 2/m 1'
_space_group_IT_number 12
loop_
_space_group_symop_operation_xyz
'x,y,z'
'-x,-y,-z'
'-x,y,-z'
'x,-y,z'
'x+1/2,y+1/2,z'
'-x+1/2,-y+1/2,-z'
'-x+1/2,y+1/2,-z'
'x+1/2,-y+1/2,z'
loop_
_atom_site_label
_atom_site_fract_x
_atom_site_fract_y
_atom_site_fract_z
_atom_site_occupancy
Tl1 0.169 0.000 0.177 1
Cl1 0.123 0.154 0.634 1
Cl2 0.191 0.500 0.686 1
O1 0.000 0.444 0.000 1
# Energy above the lowest structure with this stoichiometry (eV per atom): 0.000

=====

# Ac2Ni9Rh, optimized geometry, DFT PBE-GGA
data_Ac2Ni9Rh
_chemical_formula_sum 'Ac6 Ni27 Rh3'
_cell_length_a 5.0368
_cell_length_b 5.0368
_cell_length_c 24.8130
_cell_angle_alpha 90.00
_cell_angle_beta 90.00
_cell_angle_gamma 120.00
_space_group_name_H-M_alt 'R -3 m'
_space_group_IT_number 166
_space_group_name_Hall '-R 3 2"'
loop_
_atom_site_label
_atom_site_fract_x
_atom_site_fract_y
_atom_site_fract_z
_atom_site_occupancy
Ac1 0.0000 0.0000 0.1296 1
Ni1 0.0000 0.0000 0.3326 1
Ni2 0.0000 0.0000 0.5000 1
Ni3 0.0020 0.5010 0.0769 1
Rh1 0.0000 0.0000 0.0000 1
# Energy relative to the elements (eV per atom): 0.036

=====

# CaNdZn, optimized geometry, DFT PBE-GGA
data_CaNdZn
_chemical_formula_sum 'Ca2 Nd2 Zn2'
_cell_length_a 3.653
_cell_length_b 3.653
_cell_length_c 13.274
_cell_angle_alpha 90.00
_cell_angle_beta 90.00
_cell_angle_gamma 90.00
_space_group_name_H-M_alt 'I 4 m m'
_space_group_IT_number 107
_space_group_name_Hall 'I 4 -2'
loop_
_atom_site_label
_atom_site_fract_x
_atom_site_fract_y
_atom_site_fract_z
_atom_site_occupancy
Ca1 0.000 0.000 0.000 1
Nd1 0.000 0.000 0.275 1
Zn1 0.000 0.000 0.642 1
# Energy above the lowest structure with this stoichiometry (eV per atom): 0.000
# Energy relative to the elements (eV per atom): -0.169